Entry 1:
A crystal of LiMoSe3 relaxed with PBEsol. Source: Alexandria, functional meta-GGA SCAN.

Unit cell a=4.5159 b=4.5159 c=4.5159 alpha=90.00 beta=90.00 gamma=90.00
Closest atoms and distances in Å follow each position.
Fractional positions:
Se 0.0000 0.0000 0.5000  2 Li 2.26
Se 0.0000 0.5000 0.0000  2 Li 2.26
Se 0.5000 0.0000 0.0000  2 Li 2.26
Li 0.0000 0.0000 0.0000  6 Se 2.26
Mo 0.5000 0.5000 0.5000  12 Se 3.19

Summary:
Crystal system: cubic
Energy relative to the elements, uncorrected, meV per atom: 578
Space group: No. 221

Entry 2:
A crystal of Sc2CoRe relaxed with PBEsol. Source: Alexandria, functional meta-GGA SCAN.

Unit cell a=3.1058 b=4.5013 c=4.5013 alpha=90.00 beta=90.00 gamma=90.00
Closest atoms and distances in Å follow each position.
Fractional positions:
Sc 0.0000 0.5000 0.0000  4 Re 2.73, 4 Co 2.73
Sc 0.0000 0.0000 0.5000  4 Re 2.73, 4 Co 2.73
Re 0.5000 0.0000 0.0000  8 Sc 2.73
Co 0.5000 0.5000 0.5000  8 Sc 2.73

Summary:
Crystal system: tetragonal
Energy of formation, meV per atom: -26
Space group: No. 123

Entry 3:
A crystal of CsCdTe2N relaxed with PBEsol. Source: Alexandria, functional meta-GGA SCAN.

Unit cell a=4.4929 b=6.1506 c=6.1506 alpha=90.00 beta=90.00 gamma=90.00
Closest atoms and distances in Å follow each position.
Fractional positions:
Cd 0.5000 0.5000 0.5000  8 Te 3.81
Te 0.0000 0.0000 0.5000  2 Cs 3.08
Te 0.0000 0.5000 0.0000  2 Cs 3.08
Cs 0.0000 0.0000 0.0000  2 N 2.25
N 0.5000 0.0000 0.0000  2 Cs 2.25

Summary:
Crystal system: tetragonal
Energy relative to the elements, uncorrected, meV per atom: 1633
Space group: No. 123

Entry 4:
A crystal of Ba2H2S relaxed with PBEsol. Source: Alexandria, functional meta-GGA SCAN.

Unit cell a=4.0286 b=4.0286 c=7.3676 alpha=105.87 beta=105.87 gamma=90.00
Closest atoms and distances in Å follow each position.
Fractional positions:
S 0.0000 0.0000 0.0000  8 Ba 3.35
H 0.2500 0.7500 0.5000  4 Ba 2.59, 4 H 2.85
H 0.7500 0.2500 0.5000  4 Ba 2.59, 4 H 2.85
Ba 0.6299 0.6299 0.2598  4 H 2.59
Ba 0.3701 0.3701 0.7402  4 H 2.59

Summary:
Total energy, eV/atom: -20.375
Crystal system: tetragonal
Space group: No. 139

Entry 5:
A crystal of LiMoP2O7 relaxed with PBEsol. Source: Alexandria, functional meta-GGA SCAN.

Unit cell a=4.5326 b=5.3343 c=5.3343 alpha=103.31 beta=98.09 gamma=98.09
Closest atoms and distances in Å follow each position.
Fractional positions:
O 0.2501 0.8768 0.4782  1 P 1.51
O 0.2862 0.1923 0.0720  1 P 1.54
O 0.5000 0.4791 0.5209  2 P 1.60
O 0.7884 0.1527 0.3516  1 P 1.54
O 0.7138 0.9280 0.8077  1 P 1.54
O 0.7499 0.5218 0.1232  1 P 1.51
O 0.2116 0.6484 0.8473  1 P 1.54
Mo 0.0000 0.8764 0.1236  6 O 2.06-2.11
P 0.4118 0.7481 0.6676  4 O 1.51-1.60
P 0.5882 0.3324 0.2519  4 O 1.51-1.60
Li 0.0000 0.2492 0.7508  4 O 2.11-2.12

Summary:
Crystal system: monoclinic
Energy relative to the elements, uncorrected, meV per atom: -2350
Energy above the lowest structure with this stoichiometry, eV per atom: 0.007
Space group: No. 5

Entry 6:
A crystal of ZnFe6Ir relaxed with PBEsol. Source: Alexandria, functional meta-GGA SCAN.

Unit cell a=6.1969 b=6.1969 c=10.0959 alpha=90.00 beta=90.00 gamma=109.20
Closest atoms and distances in Å follow each position.
Fractional positions:
Fe 0.1246 0.3739 0.6246  3 Ir 2.51-2.54, 8 Fe 2.52-2.54, 1 Zn 2.53
Fe 0.8743 0.6220 0.8759  8 Fe 2.50-2.55, 3 Zn 2.51-2.53, 1 Ir 2.57
Fe 0.6261 0.8754 0.6246  3 Ir 2.51-2.54, 8 Fe 2.52-2.54, 1 Zn 2.53
Fe 0.1246 0.3739 0.3754  3 Ir 2.51-2.54, 8 Fe 2.52-2.54, 1 Zn 2.53
Fe 0.3739 0.1246 0.3754  3 Ir 2.51-2.54, 8 Fe 2.52-2.54, 1 Zn 2.53
Fe 0.3780 0.1257 0.8759  8 Fe 2.50-2.55, 3 Zn 2.51-2.53, 1 Ir 2.57
Fe 0.8743 0.6220 0.1241  8 Fe 2.50-2.55, 3 Zn 2.51-2.53, 1 Ir 2.57
Fe 0.2507 0.7493 0.2492  8 Fe 2.51-2.54, 2 Zn 2.52, 2 Ir 2.53
Fe 0.6220 0.8743 0.1241  8 Fe 2.50-2.55, 3 Zn 2.51-2.53, 1 Ir 2.57
Fe 0.8754 0.6261 0.3754  3 Ir 2.51-2.54, 8 Fe 2.52-2.54, 1 Zn 2.53
Fe 0.8754 0.6261 0.6246  3 Ir 2.51-2.54, 8 Fe 2.52-2.54, 1 Zn 2.53
Fe 0.0000 0.0000 0.5000  4 Ir 2.49-2.52, 8 Fe 2.52
Fe 0.3780 0.1257 0.1241  8 Fe 2.50-2.55, 3 Zn 2.51-2.53, 1 Ir 2.57
Fe 0.1257 0.3780 0.8759  8 Fe 2.50-2.55, 3 Zn 2.51-2.53, 1 Ir 2.57
Fe 0.0000 0.0000 0.0000  2 Zn 2.52, 8 Fe 2.54, 2 Ir 2.56
Fe 0.1257 0.3780 0.1241  8 Fe 2.50-2.55, 3 Zn 2.51-2.53, 1 Ir 2.57
Fe 0.5000 0.5000 0.0000  8 Fe 2.52, 4 Zn 2.53
Fe 0.3739 0.1246 0.6246  3 Ir 2.51-2.54, 8 Fe 2.52-2.54, 1 Zn 2.53
Fe 0.5000 0.5000 0.5000  2 Zn 2.52, 2 Ir 2.53, 8 Fe 2.53
Fe 0.7493 0.2507 0.2492  8 Fe 2.51-2.54, 2 Zn 2.52, 2 Ir 2.53
Fe 0.7493 0.2507 0.7508  8 Fe 2.51-2.54, 2 Zn 2.52, 2 Ir 2.53
Fe 0.2507 0.7493 0.7508  8 Fe 2.51-2.54, 2 Zn 2.52, 2 Ir 2.53
Fe 0.6261 0.8754 0.3754  3 Ir 2.51-2.54, 8 Fe 2.52-2.54, 1 Zn 2.53
Fe 0.6220 0.8743 0.8759  8 Fe 2.50-2.55, 3 Zn 2.51-2.53, 1 Ir 2.57
Ir 0.2498 0.7502 0.5000  12 Fe 2.52-2.54
Ir 0.0000 0.0000 0.7468  12 Fe 2.49-2.57
Ir 0.7502 0.2498 0.5000  12 Fe 2.52-2.54
Ir 0.0000 0.0000 0.2532  12 Fe 2.49-2.57
Zn 0.7504 0.2496 0.0000  12 Fe 2.51-2.53
Zn 0.2496 0.7504 0.0000  12 Fe 2.51-2.53
Zn 0.5000 0.5000 0.2502  12 Fe 2.52-2.53
Zn 0.5000 0.5000 0.7498  12 Fe 2.52-2.53

Summary:
Crystal system: orthorhombic
Energy of formation, meV per atom: -28
Space group: No. 65